# 1
Density functional theory data (GGA-PBE) for crystalline Cd2AsC at its relaxed geometry.

The structure belongs to space group I-42d (No. 122); the cell edges are 6.043, 6.043 and 9.633 Å and the angles 90.00°, 90.00° and 90.00°. The distinct sites, in fractional coordinates, are Cd at (0.178, 0.250, 0.125), As at (0.000, 0.000, 0.500) and C at (0.000, 0.000, 0.000).

Its energy above the most stable polymorph in this dataset is 0 meV/atom. As for the energy of formation: 1.13 eV/atom. The total energy comes out at -0.2056 Ry per atom.

***

# 2
Density functional theory data (GGA-PBE) for crystalline CdAsC2 at its relaxed geometry.

The structure belongs to space group I-42d (No. 122); the cell edges are 5.067, 5.067 and 8.940 Å and the angles 90.00°, 90.00° and 90.00°. The distinct sites, in fractional coordinates, are Cd at (0.000, 0.000, 0.000), As at (0.000, 0.000, 0.500) and C at (0.192, 0.250, 0.625).

Its energy above the most stable polymorph in this dataset is 0 meV/atom. As for the energy of formation: 1.21 eV/atom. The total energy comes out at -0.3520 Ry per atom.

***

# 3
Density functional theory data (GGA-PBE) for crystalline MnCdAsC2 at its relaxed geometry.

The structure belongs to space group P4/mmm (No. 123); the cell edges are 3.755, 3.755 and 5.434 Å and the angles 90.00°, 90.00° and 90.00°. The distinct sites, in fractional coordinates, are Mn at (0.000, 0.000, 0.000), Cd at (0.000, 0.000, 0.500), As at (0.500, 0.500, 0.500) and C at (0.000, 0.500, 0.000).

As for the energy of formation: 1.41 eV/atom. The total energy comes out at -0.3844 Ry per atom.

***

# 4
Density functional theory data (GGA-PBE) for crystalline NaCd2AsC at its relaxed geometry.

The structure belongs to space group P4/mmm (No. 123); the cell edges are 4.488, 4.488 and 5.016 Å and the angles 90.00°, 90.00° and 90.00°. The distinct sites, in fractional coordinates, are Na at (0.000, 0.000, 0.000), Cd at (0.000, 0.500, 0.500), As at (0.500, 0.500, 0.000) and C at (0.000, 0.000, 0.500).

As for the energy of formation: 0.68 eV/atom. The total energy comes out at -0.1999 Ry per atom.

***

# 5
Density functional theory data (GGA-PBE) for crystalline CdAsC2O at its relaxed geometry.

The structure belongs to space group P4/mmm (No. 123); the cell edges are 4.023, 4.023 and 4.296 Å and the angles 90.00°, 90.00° and 90.00°. The distinct sites, in fractional coordinates, are Cd at (0.000, 0.000, 0.000), As at (0.500, 0.500, 0.000), C at (0.000, 0.500, 0.500) and O at (0.000, 0.000, 0.500).

The value obtained for the raw formation energy is 209 kJ per mole of atoms. The total energy comes out at -0.2664 Ry per atom.

***

# 6
Density functional theory data (GGA-PBE) for crystalline Cd2AsCO at its relaxed geometry.

The structure belongs to space group P4/mmm (No. 123); the cell edges are 5.304, 5.304 and 3.798 Å and the angles 90.00°, 90.00° and 90.00°. The distinct sites, in fractional coordinates, are Cd at (0.000, 0.500, 0.000), As at (0.000, 0.000, 0.000), C at (0.500, 0.500, 0.500) and O at (0.000, 0.000, 0.500).

The value obtained for the raw formation energy is 113 kJ per mole of atoms. The total energy comes out at -0.2177 Ry per atom.